Entry 1:
A plane-wave DFT calculation with PBE-GGA was carried out for a relaxed structure of AcNd3Se6.

a = 7.8473 Å, b = 7.8473 Å, c = 7.3861 Å
α = 116.82°, β = 116.82°, γ = 61.48°
Positions (direct):
Ac 0.0000 0.0000 0.0000
Nd 0.2511 0.2511 0.6860
Nd 0.5000 0.5000 0.5000
Nd 0.7489 0.7489 0.3140
Se 0.1546 0.6514 0.6456
Se 0.2593 0.2593 0.0805
Se 0.3486 0.8454 0.3544
Se 0.6514 0.1546 0.6456
Se 0.7407 0.7407 0.9195
Se 0.8454 0.3486 0.3544

Total magnetic moment   0.00 Bohr magnetons per cell
Uncorrected energy   -56.74 eV for the cell shown
Offset from the most stable computed form   188 meV per atom
ΔE_f (raw)   -1.7423 eV per atom

Entry 2:
A plane-wave DFT calculation with PBE-GGA was carried out for a relaxed structure of AcNdSe2.

a = 4.2915 Å, b = 4.2915 Å, c = 14.6489 Å
α = 90.00°, β = 90.00°, γ = 120.00°
Positions (direct):
Ac 0.3333 0.6667 0.2500
Ac 0.6667 0.3333 0.7500
Nd 0.0000 0.0000 0.0000
Nd 0.0000 0.0000 0.5000
Se 0.3333 0.6667 0.6163
Se 0.3333 0.6667 0.8837
Se 0.6667 0.3333 0.1163
Se 0.6667 0.3333 0.3837

Total magnetic moment   0.00 Bohr magnetons per cell
Uncorrected energy   -46.37 eV for the cell shown
Offset from the most stable computed form   14 meV per atom
ΔE_f (raw)   -1.8350 eV per atom
Fermi-level density of states   2.0 states/eV/f.u.

Entry 3:
A plane-wave DFT calculation with PBE-GGA was carried out for a relaxed structure of Ac3Nd5Se8.

a = 8.6442 Å, b = 8.6442 Å, c = 8.6442 Å
α = 59.97°, β = 59.97°, γ = 59.97°
Positions (direct):
Ac 0.0000 0.5000 0.5000
Ac 0.5000 0.0000 0.5000
Ac 0.5000 0.5000 0.0000
Nd 0.0000 0.0000 0.0000
Nd 0.0000 0.0000 0.5000
Nd 0.0000 0.5000 0.0000
Nd 0.5000 0.0000 0.0000
Nd 0.5000 0.5000 0.5000
Se 0.2404 0.7500 0.7500
Se 0.2450 0.2450 0.2450
Se 0.2500 0.2500 0.7596
Se 0.2500 0.7596 0.2500
Se 0.7500 0.2404 0.7500
Se 0.7500 0.7500 0.2404
Se 0.7550 0.7550 0.7550
Se 0.7596 0.2500 0.2500

Total magnetic moment   0.00 Bohr magnetons per cell
Uncorrected energy   -93.44 eV for the cell shown
ΔE_f (raw)   -1.8372 eV per atom
Fermi-level density of states   9.8 states/eV/f.u.

Entry 4:
A plane-wave DFT calculation with PBE-GGA was carried out for a relaxed structure of AcNdSe2.

a = 4.5427 Å, b = 9.6752 Å, c = 6.9627 Å
α = 90.00°, β = 90.00°, γ = 90.00°
Positions (direct):
Ac 0.0000 0.0908 0.0000
Ac 0.5000 0.9092 0.5000
Nd 0.0000 0.6491 0.8817
Nd 0.5000 0.3509 0.3817
Se 0.0000 0.4061 0.1379
Se 0.0000 0.8194 0.2203
Se 0.5000 0.1806 0.7203
Se 0.5000 0.5939 0.6379

Total magnetic moment   0.08 Bohr magnetons per cell
Uncorrected energy   -43.04 eV for the cell shown
Offset from the most stable computed form   431 meV per atom
ΔE_f (raw)   -1.4181 eV per atom
Fermi-level density of states   2.1 states/eV/f.u.

Entry 5:
A plane-wave DFT calculation with PBE-GGA was carried out for a relaxed structure of AcNd4Se5.

a = 15.4679 Å, b = 15.4679 Å, c = 15.4679 Å
α = 164.08°, β = 164.08°, γ = 22.58°
Positions (direct):
Ac 0.0000 0.0000 0.0000
Nd 0.1991 0.1991 0.0000
Nd 0.3970 0.3970 0.0000
Nd 0.6030 0.6030 0.0000
Nd 0.8009 0.8009 0.0000
Se 0.1019 0.1019 0.0000
Se 0.2984 0.2984 0.0000
Se 0.5000 0.5000 0.0000
Se 0.7016 0.7016 0.0000
Se 0.8981 0.8981 0.0000

Total magnetic moment   0.00 Bohr magnetons per cell
Uncorrected energy   -58.85 eV for the cell shown
Offset from the most stable computed form   14 meV per atom
ΔE_f (raw)   -1.8249 eV per atom
Fermi-level density of states   4.6 states/eV/f.u.

Entry 6:
A plane-wave DFT calculation with PBE-GGA was carried out for a relaxed structure of AcNd4Se5.

a = 7.4208 Å, b = 7.4208 Å, c = 10.4853 Å
α = 118.25°, β = 118.25°, γ = 33.48°
Positions (direct):
Ac 0.0000 0.0000 0.0000
Nd 0.2003 0.2003 0.7929
Nd 0.4028 0.4028 0.5999
Nd 0.5972 0.5972 0.4001
Nd 0.7997 0.7997 0.2071
Se 0.0000 0.0000 0.5000
Se 0.2021 0.2021 0.3089
Se 0.3930 0.3930 0.1029
Se 0.6070 0.6070 0.8971
Se 0.7979 0.7979 0.6911

Total magnetic moment   0.00 Bohr magnetons per cell
Uncorrected energy   -58.99 eV for the cell shown
Offset from the most stable computed form   0 meV per atom
ΔE_f (raw)   -1.8384 eV per atom
Fermi-level density of states   4.9 states/eV/f.u.